Density functional theory data (GGA-PBE) for a geometry-optimized Ac2LaPmN4 structure.

Lattice parameters (Å, degrees): 3.796 6.595 6.574 70.61 90.00 90.00
Atoms (fractional coordinates):
Ac: 0.000 0.000 0.000
Ac: 0.500 0.000 0.500
La: 0.500 0.500 0.000
Pm: 0.000 0.500 0.500
N: 0.000 0.738 0.750
N: 0.000 0.262 0.250
N: 0.500 0.738 0.257
N: 0.500 0.262 0.743

Results
Magnetization: 0.00 μB/f.u.
Total DFT energy (no corrections): -60.7 eV for the cell shown
Energy relative to the elements, uncorrected: -1.188 eV per atom
Space group: P2/m